(1)
Be2Co: relaxed, PBEsol.

Cell: 4.2421 3.4854 6.6361 Å, 90.00 90.00 90.00°
With the nearest neighbours (Å) after each atom.
Space group Pnma (No. 62)
Inequivalent atoms, fractional coordinates:
Be: 0.1411 0.2500 0.0181 [4 per cell]  6 Be 2.13-2.33, 5 Co 2.21-2.32
Be: 0.1933 0.2500 0.6852 [4 per cell]  5 Co 2.17-2.23, 6 Be 2.18-2.33
Co: 0.1268 0.2500 0.3607 [4 per cell]  10 Be 2.17-2.32

Computed properties:
The value obtained for the mass density is 5.210 Mg/m³. The formation energy comes out at -305 meV/atom. Its total energy is -66.61 eV/cell. Its density of states at the Fermi level is 0.557 states/eV/atom. As for the spin magnetization: 0.0 μB per formula unit.


(2)
MgTlZn2Ru: relaxed, PBEsol.

Cell: 4.6899 4.6899 5.1556 Å, 90.00 90.00 90.00°
With the nearest neighbours (Å) after each atom.
Space group P4/mmm (No. 123)
Inequivalent atoms, fractional coordinates:
Mg: 0.0000 0.0000 0.0000 [1 per cell]  4 Zn 2.34, 2 Tl 2.58
Tl: 0.0000 0.0000 0.5000 [1 per cell]  2 Mg 2.58
Zn: 0.0000 0.5000 0.0000 [2 per cell]  2 Mg 2.34
Ru: 0.5000 0.5000 0.5000 [1 per cell]  4 Tl 3.32, 8 Zn 3.48

Computed properties:
The value obtained for the mass density is 6.744 Mg/m³. The formation energy comes out at 1434 meV/atom. Its total energy is -10.52 eV/cell. Its density of states at the Fermi level is 1.098 states/eV/atom. As for the spin magnetization: 2.4 μB per formula unit.


(3)
LaF3: relaxed, PBEsol.

Cell: 7.1175 7.1175 7.2787 Å, 90.00 90.00 120.00°
With the nearest neighbours (Å) after each atom.
Space group P-3c1 (No. 165)
Inequivalent atoms, fractional coordinates:
La: 0.0000 0.3420 0.2500 [6 per cell]  9 F 2.39-2.60
F: 0.0000 0.0000 0.2500 [2 per cell]  3 La 2.43
F: 0.0564 0.3680 0.5813 [12 per cell]  3 La 2.44-2.60, 5 F 2.55-2.71
F: 0.3333 0.6667 0.3177 [4 per cell]  3 La 2.39, 3 F 2.68

Computed properties:
The value obtained for the mass density is 6.112 Mg/m³. Its total energy is -167.68 eV/cell. Its density of states at the Fermi level is 0.000 states/eV/atom. The value obtained for the energy relative to the elements, uncorrected is -4.205 eV/atom. As for the spin magnetization: 0.0 μB per formula unit.


(4)
ZnAgMo2: relaxed, PBEsol.

Cell: 9.1691 2.6001 5.1128 Å, 90.00 94.85 90.00°
With the nearest neighbours (Å) after each atom.
Space group Cm (No. 8)
Inequivalent atoms, fractional coordinates:
Zn: 0.0000 0.0000 0.0000 [2 per cell]  2 Zn 2.60, 3 Ag 2.67-2.77, 5 Mo 2.81-2.86
Ag: 0.2526 0.0000 0.7776 [2 per cell]  2 Ag 2.60, 3 Zn 2.67-2.77, 7 Mo 2.85-2.91
Mo: 0.0054 0.5000 0.4885 [2 per cell]  5 Mo 2.55-2.85, 2 Zn 2.81, 1 Ag 2.85
Mo: 0.2462 0.5000 0.2717 [2 per cell]  5 Mo 2.55-2.85, 1 Zn 2.81, 2 Ag 2.85

Computed properties:
The value obtained for the mass density is 9.985 Mg/m³. The formation energy comes out at 306 meV/atom. Its total energy is -54.41 eV/cell. Its density of states at the Fermi level is 0.548 states/eV/atom. As for the spin magnetization: 0.0 μB per formula unit.


(5)
YTi2PN: relaxed, PBEsol.

Cell: 4.9705 4.9705 4.8976 Å, 90.00 90.00 90.00°
With the nearest neighbours (Å) after each atom.
Space group P4/mmm (No. 123)
Inequivalent atoms, fractional coordinates:
Y: 0.0000 0.0000 0.0000 [1 per cell]  2 P 2.45, 4 Ti 2.49
Ti: 0.0000 0.5000 0.0000 [2 per cell]  2 Y 2.49
P: 0.0000 0.0000 0.5000 [1 per cell]  2 Y 2.45
N: 0.5000 0.5000 0.5000 [1 per cell]  8 Ti 3.49, 4 P 3.51

Computed properties:
The value obtained for the mass density is 3.151 Mg/m³. Its total energy is -26.29 eV/cell. Its density of states at the Fermi level is 1.125 states/eV/atom. The value obtained for the energy relative to the elements, uncorrected is 2.299 eV/atom. As for the spin magnetization: 0.0 μB per formula unit.


(6)
MgReAu2I: relaxed, PBEsol.

Cell: 5.1728 5.1728 4.8449 Å, 90.00 90.00 90.00°
With the nearest neighbours (Å) after each atom.
Space group P4/mmm (No. 123)
Inequivalent atoms, fractional coordinates:
Mg: 0.0000 0.0000 0.0000 [1 per cell]  8 Au 3.54, 4 Re 3.66
Re: 0.5000 0.5000 0.0000 [1 per cell]  2 I 2.42
Au: 0.0000 0.5000 0.5000 [2 per cell]  2 I 2.59
I: 0.5000 0.5000 0.5000 [1 per cell]  2 Re 2.42, 4 Au 2.59

Computed properties:
The value obtained for the mass density is 9.368 Mg/m³. Its total energy is -16.33 eV/cell. Its density of states at the Fermi level is 0.530 states/eV/atom. The value obtained for the energy relative to the elements, uncorrected is 1.667 eV/atom. As for the spin magnetization: 0.6 μB per formula unit.


(7)
AlInIr2Se: relaxed, PBEsol.

Cell: 4.8835 4.8835 4.7343 Å, 90.00 90.00 90.00°
With the nearest neighbours (Å) after each atom.
Space group P4/mmm (No. 123)
Inequivalent atoms, fractional coordinates:
Al: 0.0000 0.0000 0.0000 [1 per cell]  2 In 2.37
In: 0.0000 0.0000 0.5000 [1 per cell]  2 Al 2.37, 4 Ir 2.44
Ir: 0.0000 0.5000 0.5000 [2 per cell]  2 In 2.44
Se: 0.5000 0.5000 0.0000 [1 per cell]  8 Ir 3.40, 4 Al 3.45

Computed properties:
The value obtained for the mass density is 8.901 Mg/m³. Its total energy is -21.70 eV/cell. Its density of states at the Fermi level is 1.649 states/eV/atom. The value obtained for the energy relative to the elements, uncorrected is 1.774 eV/atom. As for the spin magnetization: 0.0 μB per formula unit.


(8)
AsP2I: relaxed, PBEsol.

Cell: 6.7174 6.7174 6.7174 Å, 90.00 90.00 90.00°
With the nearest neighbours (Å) after each atom.
Space group Fm-3m (No. 225)
Inequivalent atoms, fractional coordinates:
As: 0.0000 0.0000 0.0000 [4 per cell]  8 P 2.91
P: 0.2500 0.2500 0.2500 [8 per cell]  4 As 2.91, 4 I 2.91
I: 0.0000 0.0000 0.5000 [4 per cell]  8 P 2.91

Computed properties:
The value obtained for the mass density is 5.780 Mg/m³. Its total energy is -60.52 eV/cell. Its density of states at the Fermi level is 0.761 states/eV/atom. The value obtained for the energy relative to the elements, uncorrected is 0.832 eV/atom. As for the spin magnetization: 0.0 μB per formula unit.


(9)
KTiMnHg2: relaxed, PBEsol.

Cell: 5.4067 5.4067 4.4150 Å, 90.00 90.00 90.00°
With the nearest neighbours (Å) after each atom.
Space group P4/mmm (No. 123)
Inequivalent atoms, fractional coordinates:
K: 0.0000 0.0000 0.0000 [1 per cell]  8 Hg 3.49, 4 Mn 3.82
Ti: 0.5000 0.5000 0.5000 [1 per cell]  2 Mn 2.21
Mn: 0.5000 0.5000 0.0000 [1 per cell]  2 Ti 2.21
Hg: 0.0000 0.5000 0.5000 [2 per cell]  2 Ti 2.70

Computed properties:
The value obtained for the mass density is 6.987 Mg/m³. The formation energy comes out at 486 meV/atom. Its total energy is -17.92 eV/cell. Its density of states at the Fermi level is 0.768 states/eV/atom. As for the spin magnetization: 1.6 μB per formula unit.


(10)
CrTc: relaxed, PBEsol.

Cell: 2.8644 2.8644 6.1470 Å, 90.00 90.00 90.00°
With the nearest neighbours (Å) after each atom.
Space group P4/nmm (No. 129, origin choice 2)
Inequivalent atoms, fractional coordinates:
Cr: 0.2500 0.2500 0.0992 [2 per cell]  4 Cr 2.36, 4 Tc 2.59
Tc: 0.2500 0.2500 0.6385 [2 per cell]  5 Cr 2.59-2.83, 8 Tc 2.65-2.86

Computed properties:
The value obtained for the mass density is 9.877 Mg/m³. The formation energy comes out at 61 meV/atom. Its total energy is -42.77 eV/cell. Its density of states at the Fermi level is 0.971 states/eV/atom. As for the spin magnetization: 0.0 μB per formula unit.


(11)
Y2FeTe: relaxed, PBEsol.

Cell: 4.4758 4.9581 8.1061 Å, 90.00 90.00 90.00°
With the nearest neighbours (Å) after each atom.
Space group Immm (No. 71)
Inequivalent atoms, fractional coordinates:
Y: 0.0000 0.0000 0.2366 [4 per cell]  4 Fe 2.95-3.27, 4 Te 3.09-3.13
Fe: 0.0000 0.5000 0.5000 [2 per cell]  8 Y 2.95-3.27
Te: 0.0000 0.5000 0.0000 [2 per cell]  8 Y 3.09-3.13, 4 Fe 3.34

Computed properties:
The value obtained for the mass density is 6.670 Mg/m³. Its total energy is -54.35 eV/cell. Its density of states at the Fermi level is 1.016 states/eV/atom. The value obtained for the energy relative to the elements, uncorrected is -0.260 eV/atom. As for the spin magnetization: 1.3 μB per formula unit.


(12)
Hg2MoAu: relaxed, PBEsol.

Cell: 2.8684 4.0674 6.1577 Å, 90.00 90.00 90.00°
With the nearest neighbours (Å) after each atom.
Space group Pmmm (No. 47)
Inequivalent atoms, fractional coordinates:
Hg: 0.0000 0.0000 0.2440 [2 per cell]  4 Hg 2.87-3.15, 4 Mo 2.91, 4 Au 2.95
Mo: 0.5000 0.5000 0.0000 [1 per cell]  2 Mo 2.87, 8 Hg 2.91, 2 Au 3.08
Au: 0.5000 0.5000 0.5000 [1 per cell]  2 Au 2.87, 8 Hg 2.95, 2 Mo 3.08

Computed properties:
The value obtained for the mass density is 16.043 Mg/m³. The formation energy comes out at 444 meV/atom. Its total energy is -15.05 eV/cell. As for the energy relative to the lowest polymorph listed for this composition: 0.156 eV/atom. Its density of states at the Fermi level is 0.805 states/eV/atom. As for the spin magnetization: 0.0 μB per formula unit.


(13)
HgAsIr2: relaxed, PBEsol.

Cell: 7.0305 7.0305 5.5354 Å, 90.00 90.00 90.00°
With the nearest neighbours (Å) after each atom.
Space group I-42d (No. 122)
Inequivalent atoms, fractional coordinates:
Hg: 0.0000 0.0000 0.0000 [4 per cell]  2 As 2.77, 8 Ir 2.83-3.06
As: 0.0000 0.0000 0.5000 [4 per cell]  4 Ir 2.35
Ir: 0.2000 0.2500 0.6250 [8 per cell]  2 As 2.35

Computed properties:
The value obtained for the mass density is 16.021 Mg/m³. The formation energy comes out at 423 meV/atom. Its total energy is -94.52 eV/cell. As for the energy relative to the lowest polymorph listed for this composition: 0.000 eV/atom. Its density of states at the Fermi level is 0.741 states/eV/atom. As for the spin magnetization: 0.0 μB per formula unit.


(14)
GaPbN3: relaxed, PBEsol.

Cell: 4.3795 4.3795 4.3795 Å, 90.00 90.00 90.00°
With the nearest neighbours (Å) after each atom.
Space group Pm-3m (No. 221)
Inequivalent atoms, fractional coordinates:
Ga: 0.0000 0.0000 0.0000 [1 per cell]  12 N 3.10
Pb: 0.5000 0.5000 0.5000 [1 per cell]  6 N 2.19
N: 0.0000 0.5000 0.5000 [3 per cell]  2 Pb 2.19

Computed properties:
The value obtained for the mass density is 6.305 Mg/m³. Its total energy is -22.43 eV/cell. Its density of states at the Fermi level is 0.602 states/eV/atom. The value obtained for the energy relative to the elements, uncorrected is 2.097 eV/atom. As for the spin magnetization: 4.1 μB per formula unit.


(15)
Na3IrW: relaxed, PBEsol.

Cell: 5.2850 5.2850 5.2850 Å, 90.00 90.00 90.00°
With the nearest neighbours (Å) after each atom.
Space group Pm-3m (No. 221)
Inequivalent atoms, fractional coordinates:
Na: 0.0000 0.0000 0.5000 [3 per cell]  2 Ir 2.64
Ir: 0.0000 0.0000 0.0000 [1 per cell]  6 Na 2.64
W: 0.5000 0.5000 0.5000 [1 per cell]  12 Na 3.74

Computed properties:
The value obtained for the mass density is 5.006 Mg/m³. The formation energy comes out at 2184 meV/atom. Its total energy is -16.91 eV/cell. Its density of states at the Fermi level is 1.960 states/eV/atom. As for the spin magnetization: 5.7 μB per formula unit.


(16)
TlCdPb2: relaxed, PBEsol.

Cell: 4.8148 4.8148 9.4215 Å, 90.00 90.00 90.00°
With the nearest neighbours (Å) after each atom.
Space group I-4m2 (No. 119)
Inequivalent atoms, fractional coordinates:
Tl: 0.0000 0.0000 0.0000 [2 per cell]  4 Cd 3.37, 8 Pb 3.37-3.40
Cd: 0.0000 0.5000 0.2500 [2 per cell]  4 Tl 3.37, 8 Pb 3.37-3.40
Pb: 0.0000 0.0000 0.5000 [2 per cell]  4 Cd 3.37, 4 Pb 3.37, 4 Tl 3.40
Pb: 0.0000 0.5000 0.7500 [2 per cell]  4 Tl 3.37, 4 Pb 3.37, 4 Cd 3.40

Computed properties:
The value obtained for the mass density is 11.118 Mg/m³. The formation energy comes out at 46 meV/atom. Its total energy is -23.28 eV/cell. As for the energy relative to the lowest polymorph listed for this composition: 0.019 eV/atom. Its density of states at the Fermi level is 0.386 states/eV/atom. As for the spin magnetization: 0.0 μB per formula unit.


(17)
In5Hg4: relaxed, PBEsol.

Cell: 9.1436 9.1436 6.0909 Å, 90.00 90.00 120.00°
With the nearest neighbours (Å) after each atom.
Space group P6_3/mcm (No. 193)
Inequivalent atoms, fractional coordinates:
In: 0.0000 0.3007 0.2500 [6 per cell]  7 Hg 3.06-3.14
In: 0.3333 0.6667 0.0000 [4 per cell]  2 In 3.05, 6 Hg 3.29
Hg: 0.0000 0.0000 0.0000 [2 per cell]  2 Hg 3.05, 6 In 3.14
Hg: 0.0000 0.3641 0.7500 [6 per cell]  9 In 3.06-3.29

Computed properties:
The value obtained for the mass density is 10.366 Mg/m³. The formation energy comes out at -11 meV/atom. Its total energy is -34.57 eV/cell. As for the energy relative to the lowest polymorph listed for this composition: 0.000 eV/atom. Its density of states at the Fermi level is 0.454 states/eV/atom. As for the spin magnetization: 0.0 μB per formula unit.


(18)
ScMoBr2: relaxed, PBEsol.

Cell: 3.6516 3.3189 7.6686 Å, 90.00 103.63 90.00°
With the nearest neighbours (Å) after each atom.
Space group Pm (No. 6)
Inequivalent atoms, fractional coordinates:
Sc: 0.0000 0.0000 0.0000 [1 per cell]  4 Br 2.80, 4 Mo 2.81-2.82
Mo: 0.4099 0.5000 0.8182 [1 per cell]  3 Br 2.52-2.68, 4 Sc 2.81-2.82
Br: 0.2831 0.0000 0.5631 [1 per cell]  2 Mo 2.52
Br: 0.5879 0.5000 0.1779 [1 per cell]  1 Mo 2.68, 4 Sc 2.80

Computed properties:
The value obtained for the mass density is 5.528 Mg/m³. Its total energy is -23.61 eV/cell. As for the energy relative to the lowest polymorph listed for this composition: 0.000 eV/atom. Its density of states at the Fermi level is 0.801 states/eV/atom. The value obtained for the energy relative to the elements, uncorrected is -0.375 eV/atom. As for the spin magnetization: 0.0 μB per formula unit.


(19)
AlAuSCl2: relaxed, PBEsol.

Cell: 4.8455 4.8455 4.9024 Å, 90.00 90.00 90.00°
With the nearest neighbours (Å) after each atom.
Space group P4/mmm (No. 123)
Inequivalent atoms, fractional coordinates:
Al: 0.0000 0.0000 0.0000 [1 per cell]  4 S 3.43, 8 Cl 3.45
Au: 0.5000 0.5000 0.5000 [1 per cell]  4 Cl 2.42, 2 S 2.45
S: 0.5000 0.5000 0.0000 [1 per cell]  2 Au 2.45
Cl: 0.0000 0.5000 0.5000 [2 per cell]  2 Au 2.42

Computed properties:
The value obtained for the mass density is 4.716 Mg/m³. Its total energy is -15.76 eV/cell. Its density of states at the Fermi level is 0.622 states/eV/atom. The value obtained for the energy relative to the elements, uncorrected is 0.131 eV/atom. As for the spin magnetization: 0.0 μB per formula unit.


(20)
ScRe2Hg: relaxed, PBEsol.

Cell: 2.8574 2.8574 28.6245 Å, 90.00 90.00 120.00°
With the nearest neighbours (Å) after each atom.
Space group R-3m (No. 166, hexagonal axes)
Inequivalent atoms, fractional coordinates:
Sc: 0.0000 0.0000 0.0000 [3 per cell]  6 Re 2.86, 6 Sc 2.86
Re: 0.0000 0.0000 0.2518 [6 per cell]  3 Sc 2.86, 6 Re 2.86, 3 Hg 2.94
Hg: 0.0000 0.0000 0.5000 [3 per cell]  6 Hg 2.86, 6 Re 2.94

Computed properties:
The value obtained for the mass density is 15.210 Mg/m³. The formation energy comes out at 531 meV/atom. Its total energy is -95.13 eV/cell. Its density of states at the Fermi level is 1.118 states/eV/atom. As for the spin magnetization: 0.0 μB per formula unit.